The following is a DFT calculation (PBE) of a relaxed structure of TaTiI2O.

The structure belongs to space group P4/mmm (No. 123); the cell edges are 5.609, 5.609 and 3.671 Å and the angles 90.00°, 90.00° and 90.00°. The asymmetric unit holds Ta at (0.000, 0.000, 0.000), Ti at (0.500, 0.500, 0.500), I at (0.000, 0.500, 0.500) and O at (0.500, 0.500, 0.000).

The calculation puts the energy at -5.68 eV per atom. As for the energy above the most stable polymorph in this dataset: 0.000 eV/atom. Its energy relative to the elements, uncorrected is -0.118 eV per atom. The magnetization is 2.986 Bohr magnetons per cell. Its volume is 23.10 A^3/atom.